An optimized crystal structure of KNbNiSe3. Source: OQMD via LeMat-Bulk, functional PBE-GGA.

Calculated values
VASP energy   -5.3928 eV/atom
Volume   279.5 Å³ per cell

Cell lengths 8.410, 3.685, 9.929 Å; angles 90.00, 114.73, 90.00 degrees
Space group P2_1/m (No. 11)
Symmetry-distinct sites (fractional):
K: 0.014 0.250 0.284
Nb: 0.469 0.250 0.179
Ni: 0.480 0.750 0.392
Se: 0.239 0.750 0.153
Se: 0.318 0.750 0.550
Se: 0.330 0.250 0.875

=====

An optimized crystal structure of PrBN2. Source: OQMD via LeMat-Bulk, functional PBE-GGA.

Calculated values
VASP energy   -8.3401 eV/atom
Volume   897.0 Å³ per cell

Cell lengths 12.1800, 12.1800, 6.9820 Å; angles 90.00, 90.00, 120.00 degrees
Space group R-3c (No. 167, hexagonal axes)
Symmetry-distinct sites (fractional):
Pr: 0.0000 0.4544 0.2500
B: 0.0000 0.1192 0.2500
N: 0.0000 0.1219 0.7500
N: 0.0000 0.2409 0.2500

=====

Question: Which formula does entry 1 have?
Answer: KNbNiSe3

=====

Question: VASP energy of number 2 (PrBN2)?
Answer: -8.3401 eV/atom